*one*
The following is a DFT calculation (PBE-GGA) of a relaxed MoRh2W crystal.

abc: 2.7683 4.4477 4.8482
angles: 90.00 90.00 90.00
Space group Pmm2 (No. 25)
Asymmetric unit:
Mo 0.0000 0.0000 0.0000
Rh 0.5000 0.0000 0.4976
Rh 0.5000 0.5000 0.8476
W 0.0000 0.5000 0.3431

crystal system	orthorhombic
N(E_F)	1.14	states/eV per atom
density	13.508	Mg/m³
total moment	0.000	μB per atom

*two*
The following is a DFT calculation (PBE-GGA) of a relaxed MoRh2W crystal.

abc: 6.2646 6.2646 6.2646
angles: 90.00 90.00 90.00
Space group Fm-3m (No. 225)
Asymmetric unit:
Mo 0.0000 0.0000 0.0000
Rh 0.2500 0.2500 0.2500
W 0.0000 0.0000 0.5000

crystal system	cubic
N(E_F)	1.52	states/eV per atom
density	13.119	Mg/m³
total moment	0.000	μB per atom

*three*
The following is a DFT calculation (PBE-GGA) of a relaxed MoRh2W crystal.

abc: 6.9769 6.9769 5.3873
angles: 90.00 90.00 90.00
Space group I-42d (No. 122)
Asymmetric unit:
Mo 0.0000 0.0000 0.0000
Rh 0.2413 0.2500 0.6250
W 0.0000 0.0000 0.5000

crystal system	tetragonal
N(E_F)	0.70	states/eV per atom
density	12.299	Mg/m³
total moment	0.000	μB per atom

Energies relative to the most stable structure, in meV per atom: *one* 0; *two* 510; *three* 681.

*one*
The following is a DFT calculation (PBE-GGA) of a relaxed MoRh2W crystal.

abc: 9.2260 2.7613 4.8014
angles: 90.00 100.00 90.00
Space group C2/m (No. 12)
Asymmetric unit:
Mo 0.0000 0.0000 0.0000
Rh 0.2493 0.0000 0.7491
W 0.0000 0.5000 0.5000

crystal system	monoclinic
N(E_F)	0.98	states/eV per atom
density	13.387	Mg/m³
total moment	0.000	μB per atom

*two*
The following is a DFT calculation (PBE-GGA) of a relaxed MoRh2W crystal.

abc: 2.7534 2.7534 7.8795
angles: 90.00 90.00 90.00
Space group P4/mmm (No. 123)
Asymmetric unit:
Mo 0.0000 0.0000 0.0000
Rh 0.5000 0.5000 0.2520
W 0.0000 0.0000 0.5000

crystal system	tetragonal
N(E_F)	0.73	states/eV per atom
density	13.498	Mg/m³
total moment	0.000	μB per atom

Energies relative to the most stable structure, in meV per atom: *one* 147; *two* 0.

*one*
The following is a DFT calculation (PBE-GGA) of a relaxed MoRhW2 crystal.

abc: 2.7151 4.4493 5.2508
angles: 90.00 99.21 90.00
Space group P2/m (No. 10)
Asymmetric unit:
Mo 0.0000 0.0000 0.0000
Rh 0.5000 0.0000 0.5000
W 0.2275 0.5000 0.7525

crystal system	monoclinic
N(E_F)	1.08	states/eV per atom
density	15.025	Mg/m³
total moment	0.000	μB per atom

*two*
The following is a DFT calculation (PBE-GGA) of a relaxed MoRhW2 crystal.

abc: 3.3132 4.3521 8.6659
angles: 90.00 90.00 90.00
Space group Cmm2 (No. 35)
Asymmetric unit:
Mo 0.0000 0.0000 0.0000
Rh 0.0000 0.5000 0.7569
W 0.0000 0.0000 0.5161
W 0.0000 0.5000 0.2574

crystal system	orthorhombic
N(E_F)	0.70	states/eV per atom
density	15.057	Mg/m³
total moment	0.000	μB per atom

*three*
The following is a DFT calculation (PBE-GGA) of a relaxed MoRhW2 crystal.

abc: 2.7775 2.7775 28.3798
angles: 90.00 90.00 120.00
Space group R-3m (No. 166, hexagonal axes)
Asymmetric unit:
Mo 0.0000 0.0000 0.0000
Rh 0.0000 0.0000 0.5000
W 0.0000 0.0000 0.2458

crystal system	trigonal
N(E_F)	1.04	states/eV per atom
density	14.884	Mg/m³
total moment	0.000	μB per atom

*four*
The following is a DFT calculation (PBE-GGA) of a relaxed MoRhW2 crystal.

abc: 9.3686 2.7409 4.9412
angles: 90.00 99.10 90.00
Space group Cm (No. 8)
Asymmetric unit:
Mo 0.0000 0.0000 0.0000
Rh 0.2407 0.5000 0.2455
W 0.2398 0.0000 0.7461
W 0.4808 0.0000 0.4868

crystal system	monoclinic
N(E_F)	0.78	states/eV per atom
density	15.018	Mg/m³
total moment	0.000	μB per atom

Energies relative to the most stable structure, in meV per atom: *one* 72; *two* 0; *three* 196; *four* 95.

*one*
The following is a DFT calculation (PBE-GGA) of a relaxed MoRhW2 crystal.

abc: 2.7266 4.4895 5.1868
angles: 90.00 98.13 90.00
Space group Pm (No. 6)
Asymmetric unit:
Mo 0.0000 0.0000 0.0000
Rh 0.5950 0.5000 0.2444
W 0.2363 0.5000 0.7426
W 0.5327 0.0000 0.5042

crystal system	monoclinic
N(E_F)	0.90	states/eV per atom
density	14.967	Mg/m³
total moment	0.000	μB per atom

*two*
The following is a DFT calculation (PBE-GGA) of a relaxed MoRhW2 crystal.

abc: 6.3217 6.3217 6.3217
angles: 90.00 90.00 90.00
Space group F-43m (No. 216)
Asymmetric unit:
Mo 0.0000 0.0000 0.0000
Rh 0.2500 0.2500 0.2500
W 0.0000 0.0000 0.5000
W 0.2500 0.2500 0.7500

crystal system	cubic
N(E_F)	1.56	states/eV per atom
density	14.895	Mg/m³
total moment	0.262	μB per atom

Energies relative to the most stable structure, in meV per atom: *one* 0; *two* 146.

*one*
The following is a DFT calculation (PBE-GGA) of a relaxed MoRh3W crystal.

abc: 4.9370 8.5739 8.1607
angles: 90.00 90.00 90.00
Space group Imma (No. 74)
Asymmetric unit:
Mo 0.0000 0.0000 0.0000
Rh 0.0000 0.0186 0.3243
Rh 0.2500 0.2500 0.7500
W 0.0000 0.2500 0.4763

crystal system	orthorhombic
N(E_F)	0.85	states/eV per atom
density	11.316	Mg/m³
total moment	0.000	μB per atom

*two*
The following is a DFT calculation (PBE-GGA) of a relaxed MoRh3W crystal.

abc: 4.6727 4.6727 4.6727
angles: 90.00 90.00 90.00
Space group Pm-3m (No. 221)
Asymmetric unit:
Mo 0.0000 0.0000 0.0000
Rh 0.0000 0.5000 0.5000
W 0.5000 0.5000 0.5000

crystal system	cubic
N(E_F)	1.14	states/eV per atom
density	9.579	Mg/m³
total moment	0.799	μB per atom

*three*
The following is a DFT calculation (PBE-GGA) of a relaxed MoRh3W crystal.

abc: 5.1580 12.8191 4.8829
angles: 90.00 90.00 90.00
Space group Cmcm (No. 63)
Asymmetric unit:
Mo 0.0000 0.0467 0.2500
Rh 0.0000 0.5000 0.0000
Rh 0.2474 0.1539 0.7500
W 0.0000 0.3198 0.7500

crystal system	orthorhombic
N(E_F)	1.04	states/eV per atom
density	12.107	Mg/m³
total moment	0.000	μB per atom

Energies relative to the most stable structure, in meV per atom: *one* 212; *two* 1147; *three* 0.

*one*
The following is a DFT calculation (PBE-GGA) of a relaxed MoRh4W crystal.

abc: 7.1422 7.1422 7.1422
angles: 90.00 90.00 90.00
Space group F-43m (No. 216)
Asymmetric unit:
Mo 0.0000 0.0000 0.0000
Rh 0.1250 0.1250 0.3750
W 0.2500 0.2500 0.7500

crystal system	cubic
N(E_F)	1.60	states/eV per atom
density	12.605	Mg/m³
total moment	0.000	μB per atom

*two*
The following is a DFT calculation (PBE-GGA) of a relaxed MoRh4W crystal.

abc: 8.7612 3.8541 5.4918
angles: 90.00 108.22 90.00
Space group C2/m (No. 12)
Asymmetric unit:
Mo 0.0000 0.0000 0.0000
Rh 0.1654 0.5000 0.3330
Rh 0.1647 0.5000 0.8323
W 0.0000 0.0000 0.5000

crystal system	monoclinic
N(E_F)	1.20	states/eV per atom
density	13.036	Mg/m³
total moment	0.000	μB per atom

Energies relative to the most stable structure, in meV per atom: *one* 428; *two* 0.

*one*
The following is a DFT calculation (PBE-GGA) of a relaxed Mo3RhW crystal.

abc: 4.6189 4.6189 4.6189
angles: 90.00 90.00 90.00
Space group Pm-3m (No. 221)
Asymmetric unit:
Mo 0.0000 0.0000 0.5000
Rh 0.0000 0.0000 0.0000
W 0.5000 0.5000 0.5000

crystal system	cubic
N(E_F)	1.15	states/eV per atom
density	9.682	Mg/m³
total moment	0.000	μB per atom

*two*
The following is a DFT calculation (PBE-GGA) of a relaxed Mo3RhW crystal.

abc: 4.6818 4.6818 4.6818
angles: 90.00 90.00 90.00
Space group Pm-3m (No. 221)
Asymmetric unit:
Mo 0.0000 0.0000 0.5000
Rh 0.5000 0.5000 0.5000
W 0.0000 0.0000 0.0000

crystal system	cubic
N(E_F)	1.57	states/eV per atom
density	9.297	Mg/m³
total moment	0.000	μB per atom

Energies relative to the most stable structure, in meV per atom: *one* 46; *two* 0.

*one*
The following is a DFT calculation (PBE-GGA) of a relaxed Y2Mo2Rh crystal.

abc: 8.0572 8.0572 3.4775
angles: 90.00 90.00 90.00
Space group P4/mbm (No. 127)
Asymmetric unit:
Y 0.1961 0.3039 0.0000
Mo 0.0964 0.5964 0.5000
Rh 0.0000 0.0000 0.0000

crystal system	tetragonal
N(E_F)	0.68	states/eV per atom
density	6.952	Mg/m³
total moment	0.000	μB per atom

*two*
The following is a DFT calculation (PBE-GGA) of a relaxed Y2Mo2Rh crystal.

abc: 3.5465 3.5465 17.5887
angles: 90.00 90.00 90.00
Space group I4/mmm (No. 139)
Asymmetric unit:
Y 0.0000 0.0000 0.0949
Mo 0.0000 0.5000 0.2500
Rh 0.0000 0.0000 0.5000

crystal system	tetragonal
N(E_F)	1.18	states/eV per atom
density	7.095	Mg/m³
total moment	0.000	μB per atom

Energies relative to the most stable structure, in meV per atom: *one* 498; *two* 0.